Record 1
The following is a DFT calculation (GGA-PBEsol) of CsAgHg2Sb after structural relaxation.

The value obtained for the uncorrected formation energy is 0.001 eV/atom. For the calculated density, the calculation gives 7886 kg/m3.

The structure belongs to space group P4/mmm (No. 123); the cell edges are 5.456, 5.456 and 5.402 Å and the angles 90.00°, 90.00° and 90.00°. The distinct sites, in fractional coordinates, are Cs at (0.000, 0.000, 0.000), Ag at (0.500, 0.500, 0.500), Hg at (0.000, 0.500, 0.500) and Sb at (0.500, 0.500, 0.000).

=====

Record 2
The following is a DFT calculation (GGA-PBEsol) of CsHo2Ag3Te5 after structural relaxation.

The value obtained for the uncorrected formation energy is -0.858 eV/atom. For the calculated density, the calculation gives 7261 kg/m3.

The structure belongs to space group Cmcm (No. 63); the cell edges are 4.474, 16.022 and 18.176 Å and the angles 90.00°, 90.00° and 90.00°. The distinct sites, in fractional coordinates, are Cs at (0.000, 0.058, 0.250), Ho at (0.000, 0.190, 0.593), Ag at (0.000, 0.341, 0.250), Ag at (0.000, 0.414, 0.532), Te at (0.000, 0.178, 0.074), Te at (0.000, 0.256, 0.750) and Te at (0.000, 0.438, 0.119).